A relaxed structure of Hf4GaSb, computed with PBE.

a b c (Å): 14.7417 5.5276 6.7892
angles (deg): 90.00 102.44 90.00
Space group C2/c (No. 15)
Asymmetric unit:
Hf  0.0767  0.1166  0.4389 x8
Hf  0.1689  0.3619  0.1195 x8
Ga  0.2500  0.2500  0.5000 x4
Sb  0.0000  0.3857  0.7500 x4

Mass density: 11.1 Mg/m³
Energy above the most stable polymorph in this dataset: 347 meV per atom
Formation energy (no corrections): -0.05 eV/atom

***

A relaxed structure of SrZn3Ga, computed with PBE.

a b c (Å): 6.1060 6.1335 6.3165
angles (deg): 90.00 118.78 90.00
Space group Cm (No. 8)
Asymmetric unit:
Sr  0.0000  0.0000  0.0000 x2
Zn  0.9997  0.2493  0.4994 x4
Zn  0.1167  0.5000  0.2344 x2
Ga  0.3807  0.0000  0.7603 x2

Mass density: 5.7 Mg/m³
Energy above the most stable polymorph in this dataset: 0 meV per atom
Calculated formation energy: -0.293 eV/atom

***

A relaxed structure of Ho4Al24Pd9, computed with PBE.

a b c (Å): 7.5358 7.5397 13.1866
angles (deg): 79.11 84.53 60.08
Space group P-1 (No. 2)
Asymmetric unit:
Ho  0.0015  0.2314  0.3091 x2
Ho  0.3320  0.5618  0.3092 x2
Al  0.9995  0.1478  0.5560 x2
Al  0.9996  0.3136  0.0593 x2
Al  0.0068  0.0566  0.8290 x2
Al  0.1297  0.3089  0.6848 x2
Al  0.3333  0.0206  0.9389 x2
Al  0.3327  0.1829  0.4536 x2
Al  0.3333  0.6464  0.0594 x2
Al  0.3344  0.3830  0.8293 x2
Al  0.3337  0.4819  0.5559 x2
Al  0.3360  0.8972  0.6836 x2
Al  0.3403  0.2691  0.1697 x2
Al  0.4577  0.8970  0.3163 x2
Pd  0.0000  0.5000  0.5000 x1
Pd  0.0080  0.6123  0.1382 x2
Pd  0.3251  0.9536  0.1376 x2
Pd  0.3284  0.8285  0.5000 x2
Pd  0.3331  0.7048  0.8619 x2

Mass density: 5.9 Mg/m³
Calculated formation energy: -0.711 eV/atom

***

A relaxed structure of Zr2InP, computed with PBE.

a b c (Å): 6.9080 6.9080 6.9080
angles (deg): 90.00 90.00 90.00
Space group F-43m (No. 216)
Asymmetric unit:
Zr  0.0000  0.0000  0.0000 x4
Zr  0.2500  0.2500  0.2500 x4
In  0.0000  0.0000  0.5000 x4
P  0.2500  0.2500  0.7500 x4

Mass density: 6.6 Mg/m³
Energy above the most stable polymorph in this dataset: 1054 meV per atom
Calculated formation energy: 0.203 eV/atom

***

Record-wise spin magnetization values, in μB/f.u.: 0.00, 0.00, 0.00, 0.01